# K2RbBaPd

Crystalline K2RbBaPd at its relaxed geometry (GGA-PBE, the Alexandria database).

Output
Magnetization   0.359 μB/cell
Volume   56.56 Å³/atom
E   -2.064 eV/atom

a = 6.7881 Å, b = 6.7881 Å, c = 6.1376 Å
α = 90.00°, β = 90.00°, γ = 90.00°
Positions (direct):
1 K 0.5000 0.0000 0.0000
2 K 0.0000 0.5000 0.0000
3 Pd 0.0000 0.0000 0.0000
4 Rb 0.5000 0.5000 0.5000
5 Ba 0.0000 0.0000 0.5000


# Al3GeMo

Crystalline Al3GeMo at its relaxed geometry (GGA-PBE, the Alexandria database).

Output
Magnetization   3.458 μB/cell
Volume   21.59 Å³/atom
E   -4.145 eV/atom
Excess energy over the best structure of this formula in the dataset   0.499 eV per atom

a = 4.7612 Å, b = 4.7612 Å, c = 4.7612 Å
α = 90.00°, β = 90.00°, γ = 90.00°
Each line ends with the local moment (μB).
Positions (direct):
1 Al 0.0000 0.0000 0.5000  -0.01
2 Al 0.5000 0.0000 0.0000  -0.03
3 Al 0.0000 0.5000 0.0000  -0.01
4 Mo 0.5000 0.5000 0.5000  2.94
5 Ge 0.0000 0.0000 0.0000  0.07


# Ba2AlTe

Crystalline Ba2AlTe at its relaxed geometry (GGA-PBE, the Alexandria database).

Output
Magnetization   1.277 μB/cell
Volume   44.50 Å³/atom
Raw formation energy   -0.640 eV per atom
E   -3.322 eV/atom
Excess energy over the best structure of this formula in the dataset   0.092 eV per atom

a = 5.0028 Å, b = 5.0028 Å, c = 7.1115 Å
α = 90.00°, β = 90.00°, γ = 90.00°
Each line ends with the local moment (μB).
Positions (direct):
1 Te 0.0000 0.0000 0.3753  0.01
2 Ba 0.0000 0.0000 0.8751  0.08
3 Ba 0.5000 0.5000 0.3747  0.09
4 Al 0.5000 0.5000 0.8749  0.12


# OF

Crystalline OF at its relaxed geometry (GGA-PBE, the Alexandria database).

Output
Magnetization   11.990 μB/cell
Volume   11.79 Å³/atom
Raw formation energy   1.151 eV per atom
E   -2.263 eV/atom
Excess energy over the best structure of this formula in the dataset   1.297 eV per atom

a = 4.5516 Å, b = 4.5516 Å, c = 4.5516 Å
α = 90.00°, β = 90.00°, γ = 90.00°
Each line ends with the local moment (μB).
Positions (direct):
1 F 0.0000 0.0000 0.5000  0.72
2 F 0.0000 0.5000 0.0000  0.72
3 F 0.5000 0.0000 0.0000  0.72
4 F 0.5000 0.5000 0.5000  0.72
5 O 0.5000 0.0000 0.5000  1.90
6 O 0.0000 0.5000 0.5000  1.90
7 O 0.0000 0.0000 0.0000  1.90
8 O 0.5000 0.5000 0.0000  1.90


# Sc3Ta5O12

Crystalline Sc3Ta5O12 at its relaxed geometry (GGA-PBE, the Alexandria database).

Output
Magnetization   0.000 μB/cell
Volume   12.46 Å³/atom
Raw formation energy   -2.317 eV per atom
E   -9.205 eV/atom

a = 10.8985 Å, b = 10.8985 Å, c = 10.8985 Å
α = 109.47°, β = 109.47°, γ = 109.47°
Positions (direct):
1 Sc 0.8750 0.1250 0.2500
2 Sc 0.2500 0.1250 0.3750
3 Sc 0.1250 0.8750 0.7500
4 Sc 0.7500 0.3750 0.1250
5 Sc 0.3750 0.7500 0.6250
6 Sc 0.7500 0.8750 0.6250
7 Sc 0.3750 0.6250 0.2500
8 Sc 0.6250 0.2500 0.3750
9 Sc 0.1250 0.2500 0.8750
10 Sc 0.2500 0.6250 0.8750
11 Sc 0.6250 0.3750 0.7500
12 Sc 0.8750 0.7500 0.1250
13 O 0.7857 0.3319 0.9337
14 O 0.8319 0.8981 0.0461
15 O 0.9337 0.1019 0.6480
16 O 0.0461 0.6480 0.7143
17 O 0.4337 0.2857 0.3319
18 O 0.3319 0.5461 0.3981
19 O 0.3520 0.3981 0.0663
20 O 0.8981 0.8319 0.5461
21 O 0.8319 0.9337 0.2857
22 O 0.9539 0.6019 0.1681
23 O 0.3319 0.7857 0.4337
24 O 0.1480 0.4337 0.1019
25 O 0.7143 0.5663 0.1681
26 O 0.5663 0.8520 0.3981
27 O 0.7143 0.1480 0.0461
28 O 0.6480 0.0461 0.2143
29 O 0.2857 0.8520 0.9539
30 O 0.4337 0.1480 0.6019
31 O 0.2857 0.4337 0.8319
32 O 0.6480 0.6019 0.9337
33 O 0.5663 0.7143 0.6681
34 O 0.0663 0.8981 0.3520
35 O 0.9337 0.8319 0.7857
36 O 0.6681 0.4539 0.6019
37 O 0.6019 0.6480 0.4337
38 O 0.0461 0.3981 0.8319
39 O 0.5461 0.2143 0.1480
40 O 0.2143 0.5461 0.6480
41 O 0.2143 0.6681 0.0663
42 O 0.8520 0.5663 0.8981
43 O 0.1681 0.0663 0.7143
44 O 0.7857 0.4539 0.3520
45 O 0.3981 0.3520 0.5663
46 O 0.1019 0.1681 0.4539
47 O 0.5461 0.3319 0.8981
48 O 0.1480 0.7143 0.5461
49 O 0.8520 0.2857 0.4539
50 O 0.3520 0.9539 0.7857
51 O 0.9539 0.3520 0.2857
52 O 0.1681 0.1019 0.9539
53 O 0.0663 0.1681 0.2143
54 O 0.1019 0.9337 0.1480
55 O 0.6681 0.2143 0.5663
56 O 0.3981 0.0461 0.3319
57 O 0.6019 0.9539 0.6681
58 O 0.8981 0.0663 0.8520
59 O 0.4539 0.6681 0.1019
60 O 0.4539 0.7857 0.8520
61 Ta 0.0000 0.0000 0.0000
62 Ta 0.8750 0.6250 0.7500
63 Ta 0.2500 0.3750 0.6250
64 Ta 0.3750 0.2500 0.1250
65 Ta 0.6250 0.7500 0.8750
66 Ta 0.1250 0.3750 0.2500
67 Ta 0.2500 0.8750 0.1250
68 Ta 0.7500 0.1250 0.8750
69 Ta 0.1250 0.7500 0.3750
70 Ta 0.7500 0.6250 0.3750
71 Ta 0.8750 0.2500 0.6250
72 Ta 0.0000 0.5000 0.0000
73 Ta 0.5000 0.5000 0.0000
74 Ta 0.0000 0.0000 0.5000
75 Ta 0.5000 0.0000 0.5000
76 Ta 0.6250 0.8750 0.2500
77 Ta 0.3750 0.1250 0.7500
78 Ta 0.5000 0.5000 0.5000
79 Ta 0.5000 0.0000 0.0000
80 Ta 0.0000 0.5000 0.5000


# Tm4GeAs2Se

Crystalline Tm4GeAs2Se at its relaxed geometry (GGA-PBE, the Alexandria database).

Output
Magnetization   0.000 μB/cell
Volume   23.76 Å³/atom
Raw formation energy   -1.427 eV per atom
E   -5.838 eV/atom

a = 4.0466 Å, b = 7.0568 Å, c = 7.0496 Å
α = 109.24°, β = 90.00°, γ = 90.00°
Positions (direct):
1 Tm 0.0000 0.7596 0.2555
2 Tm 0.5000 0.2466 0.2514
3 Tm 0.5000 0.7534 0.7486
4 Tm 0.0000 0.2404 0.7445
5 As 0.5000 0.0000 0.5000
6 As 0.0000 0.5000 0.5000
7 Se 0.5000 0.5000 0.0000
8 Ge 0.0000 0.0000 0.0000


# Tm2PaPt9

Crystalline Tm2PaPt9 at its relaxed geometry (GGA-PBE, the Alexandria database).

Output
Magnetization   0.000 μB/cell
Volume   17.48 Å³/atom
E   -7.178 eV/atom

a = 4.1277 Å, b = 4.1277 Å, c = 12.3103 Å
α = 90.00°, β = 90.00°, γ = 90.00°
Positions (direct):
1 Tm 0.0000 0.0000 0.3385
2 Tm 0.0000 0.0000 0.6615
3 Pt 0.5000 0.5000 0.6663
4 Pt 0.0000 0.5000 0.1656
5 Pt 0.5000 0.5000 0.0000
6 Pt 0.0000 0.5000 0.8344
7 Pt 0.5000 0.5000 0.3337
8 Pt 0.5000 0.0000 0.5000
9 Pt 0.0000 0.5000 0.5000
10 Pt 0.5000 0.0000 0.1656
11 Pt 0.5000 0.0000 0.8344
12 Pa 0.0000 0.0000 0.0000


# Sm2ErSb2Te2

Crystalline Sm2ErSb2Te2 at its relaxed geometry (GGA-PBE, the Alexandria database).

Output
Magnetization   0.000 μB/cell
Volume   35.83 Å³/atom
Raw formation energy   -0.745 eV per atom
E   -4.820 eV/atom

a = 5.6981 Å, b = 5.6981 Å, c = 8.7115 Å
α = 109.09°, β = 109.09°, γ = 90.00°
Positions (direct):
1 Sm 0.6143 0.6143 0.2286
2 Sm 0.3857 0.3857 0.7714
3 Sb 0.0000 0.5000 0.0000
4 Sb 0.5000 0.0000 0.0000
5 Te 0.8060 0.8060 0.6120
6 Te 0.1940 0.1940 0.3880
7 Er 0.0000 0.0000 0.0000